Record 1
This record from Alexandria describes crystalline BeMoAs2 at its relaxed geometry. The functional is PBE.

abc: 3.2843 3.2843 5.5120
angles: 90.00 90.00 90.00
Closest atoms and distances in Å follow each position.
Positions (direct):
Mo: 0.5000 0.5000 0.7500  8 As 2.70, 2 Be 2.76
As: 0.0000 0.0000 0.4988  4 Be 2.70, 4 Mo 2.70, 2 As 2.74-2.77
As: 0.0000 0.0000 0.0012  4 Be 2.70, 4 Mo 2.70, 2 As 2.74-2.77
Be: 0.5000 0.5000 0.2500  8 As 2.70, 2 Mo 2.76

Results
SG: No. 123
M_tot: 0.00 μB per cell
Energy of formation from the pure elements: 0.136 eV/atom



Record 2
This record from Alexandria describes crystalline PrDy3Ag2 at its relaxed geometry. The functional is PBE.

abc: 5.3448 9.2802 8.7777
angles: 125.10 90.00 106.74
Closest atoms and distances in Å follow each position.
Positions (direct):
Pr: 0.1362 0.2724 0.0800  5 Ag 3.27-3.40, 4 Dy 3.49-3.56
Pr: 0.8638 0.7276 0.9200  5 Ag 3.27-3.40, 4 Dy 3.49-3.56
Ag: 0.2272 0.4544 0.8448  5 Dy 3.08-3.19, 3 Pr 3.30-3.40
Ag: 0.5114 0.0229 0.8574  1 Ag 2.77, 2 Dy 2.88-2.89
Ag: 0.7728 0.5456 0.1552  5 Dy 3.08-3.19, 3 Pr 3.30-3.40
Ag: 0.4886 0.9771 0.1426  1 Ag 2.77, 2 Dy 2.88-2.89
Dy: 0.6917 0.3835 0.3869  2 Ag 2.89-3.12, 2 Dy 3.23
Dy: 0.6190 0.2381 0.7108  4 Ag 2.88-3.14
Dy: 0.3083 0.6165 0.6131  2 Ag 2.89-3.12, 2 Dy 3.23
Dy: 0.9383 0.8766 0.6019  3 Ag 3.19-3.22, 1 Pr 3.50, 5 Dy 3.52-3.57
Dy: 0.3810 0.7619 0.2892  4 Ag 2.88-3.14
Dy: 0.0617 0.1234 0.3981  3 Ag 3.19-3.22, 1 Pr 3.50, 5 Dy 3.52-3.57

Results
SG: No. 12
M_tot: 0.00 μB per cell
Energy of formation from the pure elements: -0.125 eV/atom
Energy relative to the lowest polymorph listed for this composition: 73 meV per atom



Record 3
This record from Alexandria describes crystalline Rb2SnSbAu at its relaxed geometry. The functional is PBE.

abc: 7.0865 5.6095 7.0865
angles: 90.00 90.00 90.00
Closest atoms and distances in Å follow each position.
Positions (direct):
Sn: 0.0000 0.5000 0.0000  2 Sb 2.80
Rb: 0.0000 0.0000 0.5000  2 Sb 3.54
Rb: 0.5000 0.0000 0.0000  2 Sb 3.54
Au: 0.5000 0.5000 0.5000  8 Rb 4.52, 4 Sn 5.01
Sb: 0.0000 0.0000 0.0000  2 Sn 2.80

Results
SG: No. 123
M_tot: 0.00 μB per cell
Formation energy from raw total energies: 84 meV/atom



Record 4
This record from Alexandria describes crystalline KSe2Cl at its relaxed geometry. The functional is PBE.

abc: 2.8822 2.8823 12.8045
angles: 90.00 90.00 90.37
Closest atoms and distances in Å follow each position.
Positions (direct):
K: 0.5000 0.5000 0.7500  4 K 2.88
Se: 0.0000 0.0000 0.9524  4 Se 2.88
Se: 0.0000 0.0000 0.5476  4 Se 2.88
Cl: 0.5000 0.5000 0.2500  4 Cl 2.88

Results
SG: No. 65
M_tot: 0.00 μB per cell
Formation energy from raw total energies: -21 meV/atom
Energy relative to the lowest polymorph listed for this composition: 778 meV per atom



Record 5
This record from Alexandria describes crystalline YTcIr at its relaxed geometry. The functional is PBE.

abc: 5.6492 5.6492 5.6492
angles: 150.33 139.67 50.86
Closest atoms and distances in Å follow each position.
Positions (direct):
Ir: 0.9626 0.9626 0.0000  4 Tc 2.59, 2 Ir 2.89
Y: 0.6649 0.6649 0.0000  2 Y 2.89, 5 Tc 2.98-3.22, 5 Ir 3.04-3.18
Tc: 0.3725 0.3725 0.0000  4 Ir 2.59, 2 Tc 2.89

Results
SG: No. 44
M_tot: 0.00 μB per cell
Energy of formation from the pure elements: -0.070 eV/atom
Energy relative to the lowest polymorph listed for this composition: 135 meV per atom



Record 6
This record from Alexandria describes crystalline KNa3Os at its relaxed geometry. The functional is PBE.

abc: 5.7854 5.7854 5.7854
angles: 90.00 90.00 90.00
Closest atoms and distances in Å follow each position.
Positions (direct):
Os: 0.0000 0.0000 0.0000  6 Na 2.89
Na: 0.0000 0.5000 0.0000  2 Os 2.89
Na: 0.0000 0.0000 0.5000  2 Os 2.89
Na: 0.5000 0.0000 0.0000  2 Os 2.89
K: 0.5000 0.5000 0.5000  12 Na 4.09

Results
SG: No. 221
M_tot: 1.93 μB per cell
Energy of formation from the pure elements: 1.051 eV/atom
Energy relative to the lowest polymorph listed for this composition: 0 meV per atom



Record 7
This record from Alexandria describes crystalline Y2ZrGa at its relaxed geometry. The functional is PBE.

abc: 3.4576 3.4576 8.4836
angles: 90.00 90.00 90.00
Closest atoms and distances in Å follow each position.
Positions (direct):
Y: 0.0000 0.0000 0.7726  4 Ga 3.11, 4 Zr 3.37, 4 Y 3.46
Y: 0.0000 0.0000 0.2274  4 Ga 3.11, 4 Zr 3.37, 4 Y 3.46
Zr: 0.5000 0.5000 0.5000  8 Y 3.37, 4 Zr 3.46
Ga: 0.5000 0.5000 0.0000  8 Y 3.11, 4 Ga 3.46

Results
SG: No. 123
M_tot: 0.00 μB per cell
Energy of formation from the pure elements: -0.242 eV/atom



Record 8
This record from Alexandria describes crystalline BaTaSi at its relaxed geometry. The functional is PBE.

abc: 3.1970 3.1970 8.0355
angles: 90.00 90.00 120.00
Closest atoms and distances in Å follow each position.
Positions (direct):
Si: 0.6667 0.3333 0.3677  3 Ta 2.73
Ta: 0.3333 0.6667 0.6184  3 Si 2.73
Ba: 0.0000 0.0000 0.0139  6 Ba 3.20, 3 Si 3.39

Results
SG: No. 156
M_tot: 0.00 μB per cell
Formation energy from raw total energies: 708 meV/atom
Energy relative to the lowest polymorph listed for this composition: 968 meV per atom



Record 9
This record from Alexandria describes crystalline PRuBr4 at its relaxed geometry. The functional is PBE.

abc: 6.1467 6.1467 6.1467
angles: 60.00 60.00 60.00
Closest atoms and distances in Å follow each position.
Positions (direct):
P: 0.7500 0.7500 0.7500  12 Br 3.61, 4 Ru 3.76
Br: 0.3743 0.3743 0.8771  6 Br 3.06-3.09
Br: 0.3743 0.8771 0.3743  6 Br 3.06-3.09
Br: 0.8771 0.3743 0.3743  6 Br 3.06-3.09
Br: 0.3743 0.3743 0.3743  6 Br 3.06-3.09
Ru: 0.0000 0.0000 0.0000  12 Br 3.60, 4 P 3.76

Results
SG: No. 216
M_tot: 5.17 μB per cell
Formation energy from raw total energies: 1593 meV/atom



Record 10
This record from Alexandria describes crystalline Sr2LiTlS at its relaxed geometry. The functional is PBE.

abc: 5.8566 5.8566 4.5831
angles: 90.00 90.00 90.00
Closest atoms and distances in Å follow each position.
Positions (direct):
Sr: 0.0000 0.5000 0.0000  2 S 2.93
Sr: 0.5000 0.0000 0.0000  2 S 2.93
Tl: 0.5000 0.5000 0.5000  8 Sr 3.72, 4 Li 4.14
Li: 0.0000 0.0000 0.5000  2 S 2.29
S: 0.0000 0.0000 0.0000  2 Li 2.29

Results
SG: No. 123
M_tot: 0.00 μB per cell
Formation energy from raw total energies: -908 meV/atom



Record 11
This record from Alexandria describes crystalline CdAgW2 at its relaxed geometry. The functional is PBE.

abc: 4.7928 2.7361 5.4834
angles: 74.01 90.00 90.00
Closest atoms and distances in Å follow each position.
Positions (direct):
W: 0.0000 0.4963 0.4980  4 W 2.69-2.74, 2 Ag 2.92, 2 Cd 2.94
W: 0.0000 0.0037 0.0020  4 W 2.69-2.74, 2 Ag 2.92, 2 Cd 2.94
Ag: 0.5000 0.2500 0.2500  2 Cd 2.71, 2 Ag 2.74, 4 W 2.92
Cd: 0.5000 0.7500 0.7500  2 Ag 2.71, 2 Cd 2.74, 4 W 2.94

Results
SG: No. 10
M_tot: 0.00 μB per cell
Energy of formation from the pure elements: 0.657 eV/atom



Record 12
This record from Alexandria describes crystalline MnAsHPb2 at its relaxed geometry. The functional is PBE.

abc: 5.1506 5.1506 3.8510
angles: 90.00 90.00 90.00
Closest atoms and distances in Å follow each position.
Positions (direct):
Pb: 0.5000 0.0000 0.0000  2 H 2.58
Pb: 0.0000 0.5000 0.0000  2 H 2.58
Mn: 0.5000 0.5000 0.5000  8 Pb 3.22
As: 0.0000 0.0000 0.5000  2 H 1.93
H: 0.0000 0.0000 0.0000  2 As 1.93

Results
SG: No. 123
M_tot: 4.10 μB per cell
E: -4.448 eV/atom



Record 13
This record from Alexandria describes crystalline Tb2Pr2ErTm4 at its relaxed geometry. The functional is PBE.

abc: 3.5881 9.4746 9.5320
angles: 115.24 90.00 100.91
Closest atoms and distances in Å follow each position.
Positions (direct):
Pr: 0.3351 0.6703 0.9994  3 Tm 3.53-3.55, 2 Er 3.55, 3 Tb 3.58-3.59, 4 Pr 3.59-3.65
Pr: 0.6649 0.3297 0.0006  3 Tm 3.53-3.55, 2 Er 3.55, 3 Tb 3.58-3.59, 4 Pr 3.59-3.65
Tm: 0.8149 0.6297 0.6625  3 Tb 3.46-3.60, 6 Tm 3.49-3.59, 1 Er 3.55, 2 Pr 3.55
Tm: 0.5198 0.0397 0.3348  4 Tb 3.48-3.59, 5 Tm 3.53-3.59, 1 Pr 3.53, 2 Er 3.54
Tm: 0.4802 0.9603 0.6652  4 Tb 3.48-3.59, 5 Tm 3.53-3.59, 1 Pr 3.53, 2 Er 3.54
Tm: 0.1851 0.3703 0.3375  3 Tb 3.46-3.60, 6 Tm 3.49-3.59, 1 Er 3.55, 2 Pr 3.55
Tb: 0.8533 0.7067 0.3388  7 Tm 3.46-3.60, 3 Pr 3.58-3.59, 2 Tb 3.59
Tb: 0.1467 0.2933 0.6612  7 Tm 3.46-3.60, 3 Pr 3.58-3.59, 2 Tb 3.59
Er: 0.0000 0.0000 0.0000  6 Tm 3.54-3.55, 4 Pr 3.55, 2 Er 3.59

Results
SG: No. 12
M_tot: 0.00 μB per cell
Energy of formation from the pure elements: 0.001 eV/atom



Number 1: D(E_F) 0.558 states/eV per atom. Number 2: D(E_F) 1.116 states/eV per atom. Number 3: D(E_F) 0.512 states/eV per atom. Number 4: D(E_F) 0.651 states/eV per atom. Number 5: D(E_F) 0.964 states/eV per atom. Number 6: D(E_F) 2.005 states/eV per atom. Number 7: D(E_F) 0.882 states/eV per atom. Number 8: D(E_F) 0.881 states/eV per atom. Number 9: D(E_F) 1.989 states/eV per atom. Number 10: D(E_F) 0.639 states/eV per atom. Number 11: D(E_F) 0.595 states/eV per atom. Number 12: D(E_F) 0.644 states/eV per atom. Number 13: D(E_F) 1.404 states/eV per atom.